This record from OQMD via LeMat-Bulk describes an optimized crystal structure of CuAg. The functional is PBE.

energy relative to the elements	0.152	eV/f.u.
space group	Cm, No. 8

POSCAR file:
```
CuAg
1.0
9.195 -1.422 0.000
9.195 1.422 0.000
-0.916 0.000 5.719
Ag Cu
5 5
direct
0.207 0.207 0.613
0.811 0.811 0.394
0.597 0.597 0.809
0.599 0.599 0.292
0.985 0.985 0.493
0.400 0.400 0.163
0.208 0.208 0.096
0.992 0.992 0.994
0.805 0.805 0.914
0.396 0.396 0.732
```



This record from OQMD via LeMat-Bulk describes an optimized crystal structure of Cu3Ag2. The functional is PBE.

E above lowest polymorph	28	meV/atom
energy relative to the elements	0.351	eV/f.u.
space group	C2/m, No. 12

POSCAR file:
```
Cu3Ag2
1.0
7.318 -1.408 0.000
7.318 1.408 0.000
-1.711 0.000 6.922
Ag Cu
4 6
direct
0.598 0.598 0.564
0.200 0.200 0.322
0.800 0.800 0.678
0.402 0.402 0.436
0.194 0.194 0.879
0.806 0.806 0.121
0.005 0.005 0.233
0.591 0.591 0.032
0.409 0.409 0.968
0.995 0.995 0.767
```



This record from OQMD via LeMat-Bulk describes an optimized crystal structure of Cu8Ag. The functional is PBE.

E above lowest polymorph	11	meV/atom
energy relative to the elements	0.432	eV/f.u.
space group	R-3, No. 148

POSCAR file:
```
Cu8Ag
1.0
2.258 1.304 6.360
-2.258 1.304 6.360
0.000 -2.608 6.360
Cu Ag
8 1
direct
0.833 0.833 0.833
0.273 0.613 0.953
0.387 0.047 0.727
0.047 0.727 0.387
0.727 0.387 0.047
0.953 0.273 0.613
0.613 0.953 0.273
0.167 0.167 0.167
0.500 0.500 0.500
```



Question: What is the formula in the third record?
Answer: Cu8Ag